# 1
An optimized crystal structure of LaCd2Au4. Source: the Alexandria database, functional GGA-PBE.

Cell lengths 5.869, 5.869, 5.869 Å; angles 103.33, 103.33, 122.62 degrees
Positions (direct):
La 0.000 0.000 0.000
Cd 0.250 0.750 0.500
Cd 0.750 0.250 0.500
Au 0.305 0.305 0.610
Au 0.305 0.695 0.000
Au 0.695 0.305 0.000
Au 0.695 0.695 0.390

Space-group type = I4/mmm
Formation enthalpy at 0 K = -0.533 eV per atom
Uncorrected energy = -3.372 eV per atom

***

# 2
An optimized crystal structure of LaCdAu2. Source: the Alexandria database, functional GGA-PBE.

Cell lengths 5.359, 5.359, 5.359 Å; angles 127.76, 127.76, 77.02 degrees
Positions (direct):
La 0.000 0.000 0.000
Cd 0.250 0.750 0.500
Au 0.500 0.500 0.000
Au 0.750 0.250 0.500

Space-group type = I-4m2
Formation enthalpy at 0 K = -0.508 eV per atom
Uncorrected energy = -3.607 eV per atom